# RbCuPdF5 SCAN single point on PBEsol structure
data_RbCuPdF5
_chemical_formula_sum 'Rb4 Cu4 Pd4 F20'
_symmetry_space_group_name_H-M 'I m m a'
_symmetry_Int_Tables_number 74
_symmetry_space_group_name_Hall '-I 2b 2'
_cell_length_a 5.8943
_cell_length_b 7.4526
_cell_length_c 10.8684
_cell_angle_alpha 90.00
_cell_angle_beta 90.00
_cell_angle_gamma 90.00
loop_
_atom_site_label
_atom_site_fract_x
_atom_site_fract_y
_atom_site_fract_z
Rb1 0.0000 0.2500 0.0890
Cu1 0.0000 0.0000 0.5000
Pd1 0.2500 0.2500 0.7500
F1 0.0000 0.2500 0.4397
F2 0.2487 0.0636 0.6218
# **Raw formation energy**: -1984 meV per atom
# **Crystal system**: orthorhombic

# BeAlCo6 SCAN single point on PBEsol structure
data_BeAlCo6
_chemical_formula_sum 'Be8 Al8 Co48'
_symmetry_space_group_name_H-M 'C m m m'
_symmetry_Int_Tables_number 65
_symmetry_space_group_name_Hall '-C 2 2'
_cell_length_a 5.3717
_cell_length_b 11.0042
_cell_length_c 11.0698
_cell_angle_alpha 90.00
_cell_angle_beta 90.00
_cell_angle_gamma 90.00
loop_
_atom_site_label
_atom_site_fract_x
_atom_site_fract_y
_atom_site_fract_z
Be1 0.0000 0.0000 0.2371
Be2 0.0000 0.2554 0.0000
Al1 0.0000 0.2562 0.5000
Al2 0.0000 0.5000 0.2387
Co1 0.0000 0.0000 0.0000
Co2 0.0000 0.0000 0.5000
Co3 0.0000 0.2531 0.2471
Co4 0.0000 0.5000 0.0000
Co5 0.0000 0.5000 0.5000
Co6 0.2383 0.1199 0.3677
Co7 0.2401 0.1311 0.1178
# **ΔH_f (0 K)**: -0.196 eV/atom
# **Crystal system**: orthorhombic

# CuRuSe2 SCAN single point on PBEsol structure
data_CuRuSe2
_chemical_formula_sum 'Cu4 Ru4 Se8'
_symmetry_space_group_name_H-M 'F -4 3 m'
_symmetry_Int_Tables_number 216
_symmetry_space_group_name_Hall 'F -4 2 3'
_cell_length_a 6.2731
_cell_length_b 6.2731
_cell_length_c 6.2731
_cell_angle_alpha 90.00
_cell_angle_beta 90.00
_cell_angle_gamma 90.00
loop_
_atom_site_label
_atom_site_fract_x
_atom_site_fract_y
_atom_site_fract_z
Cu1 0.0000 0.0000 0.0000
Ru1 0.2500 0.2500 0.2500
Se1 0.0000 0.0000 0.5000
Se2 0.2500 0.2500 0.7500
# **Raw formation energy**: 836 meV per atom
# **Crystal system**: cubic

Number 1: raw total energy -409.14 eV per cell. Number 2: raw total energy -940.00 eV per cell. Number 3: raw total energy -347.35 eV per cell.